Record 1
Here is crystalline Ce2NdAg2Ge2 at its relaxed geometry from Alexandria via LeMat-Bulk. Energies are from PBE.

Structure (POSCAR):
```
Ce2NdAg2Ge2
1.0
-3.588 2.604 -0.770
-2.810 1.010 3.366
2.820 8.596 2.782
Ag Ge Nd Ce
2 2 1 2
direct
0.409 0.409 0.773
0.591 0.591 0.227
0.738 0.738 0.786
0.262 0.262 0.214
0.000 0.000 0.000
0.857 0.857 0.428
0.143 0.143 0.572
```

Values from the calculation:
As for the electronic total energy: -4.928 eV/atom. As for the density of states at the Fermi level: 10.58 states/eV per cell. For the formation energy, the calculation gives -2.9 eV/f.u. The space group is R-3m, No. 166.

Record 2
Here is crystalline KLaMgO3 at its relaxed geometry from Alexandria via LeMat-Bulk. Energies are from PBE.

Structure (POSCAR):
```
KLaMgO3
1.0
-3.339 1.337 -0.987
-1.102 -6.006 -4.411
-3.382 -2.662 7.837
Mg O K La
2 6 2 2
direct
0.750 0.929 0.392
0.250 0.071 0.608
0.250 0.560 0.882
0.250 0.853 0.432
0.750 0.871 0.165
0.750 0.147 0.568
0.250 0.129 0.835
0.750 0.440 0.118
0.750 0.835 0.840
0.250 0.165 0.160
0.750 0.346 0.846
0.250 0.654 0.154
```

Values from the calculation:
As for the electronic total energy: -6.284 eV/atom. As for the density of states at the Fermi level: 0.00 states/eV per cell. Its formation energy without anion corrections is -2.535 eV/atom. The space group is P2_1/m, No. 11.